No. 1
VASP calculation (GGA-PBE) on crystalline Pr6Ga3Au at its relaxed geometry.

Cell lengths 7.5115, 8.3569, 12.2942 Å; angles 90.00, 127.36, 90.00 degrees
Last column: nearest neighbours and their distance in Å.
Space group P2_1/c (No. 14)
Symmetry-distinct sites (fractional):
Pr 0.0342 0.0932 0.2485 (multiplicity 4)  3 Ga 3.01-3.15, 1 Au 3.05
Pr 0.2164 0.6730 0.0633 (multiplicity 4)  3 Ga 3.03-3.29, 1 Au 3.04
Pr 0.4124 0.1765 0.0705 (multiplicity 4)  1 Au 3.03, 3 Ga 3.04-3.24
Ga 0.0000 0.0000 0.0000 (multiplicity 2)  6 Pr 3.01-3.04
Ga 0.3105 0.1249 0.7536 (multiplicity 4)  6 Pr 3.12-3.29
Au 0.5000 0.0000 0.5000 (multiplicity 2)  6 Pr 3.03-3.05

Results
The calculation puts the final energy at -89.04 eV/cell. For the spin magnetization, the calculation gives 0.0 μB/cell. The crystal system is monoclinic. The density of states at the Fermi level is 20.527 states/eV/cell.

=====

No. 2
VASP calculation (GGA-PBE) on crystalline Pr3Ga3Au at its relaxed geometry.

Cell lengths 11.0658, 4.5682, 15.0473 Å; angles 90.00, 111.57, 90.00 degrees
Last column: nearest neighbours and their distance in Å.
Space group C2/m (No. 12)
Symmetry-distinct sites (fractional):
Pr 0.0417 0.0000 0.3806 (multiplicity 4)  7 Ga 3.19-3.44, 4 Au 3.21-3.37
Pr 0.1086 0.0000 0.9276 (multiplicity 4)  7 Ga 3.20-3.27
Pr 0.2419 0.0000 0.2298 (multiplicity 4)  6 Ga 3.19-3.27, 2 Au 3.30
Ga 0.0282 0.5000 0.2253 (multiplicity 4)  1 Ga 2.66, 1 Au 2.78
Ga 0.1053 0.5000 0.0777 (multiplicity 4)  2 Ga 2.63-2.66
Ga 0.1275 0.5000 0.5393 (multiplicity 4)  1 Ga 2.63, 2 Au 2.67
Au 0.2496 0.0000 0.6101 (multiplicity 4)  3 Ga 2.67-2.78

Results
The calculation puts the final energy at -125.12 eV/cell. For the spin magnetization, the calculation gives 0.0 μB/cell. The crystal system is monoclinic. The density of states at the Fermi level is 19.803 states/eV/cell.

=====

No. 3
VASP calculation (GGA-PBE) on crystalline Pr2GaAu at its relaxed geometry.

Cell lengths 3.6954, 3.6954, 7.6555 Å; angles 90.00, 90.00, 90.00 degrees
Last column: nearest neighbours and their distance in Å.
Space group P4/mmm (No. 123)
Symmetry-distinct sites (fractional):
Pr 0.0000 0.0000 0.2482 (multiplicity 2)  4 Ga 3.23, 4 Au 3.25
Ga 0.5000 0.5000 0.0000 (multiplicity 1)  8 Pr 3.23
Au 0.5000 0.5000 0.5000 (multiplicity 1)  8 Pr 3.25

Results
The calculation puts the final energy at -18.41 eV/cell. For the spin magnetization, the calculation gives 0.0 μB/cell. The crystal system is tetragonal. The density of states at the Fermi level is 3.794 states/eV/cell.

=====

No. 4
VASP calculation (GGA-PBE) on crystalline PrGa3Au3 at its relaxed geometry.

Cell lengths 9.1020, 9.1020, 4.8223 Å; angles 90.00, 90.00, 120.00 degrees
Last column: nearest neighbours and their distance in Å.
Space group P6_3/m (No. 176)
Symmetry-distinct sites (fractional):
Pr 0.3333 0.6667 0.2500 (multiplicity 2)  3 Ga 3.21, 9 Au 3.40-3.45
Ga 0.0308 0.6725 0.7500 (multiplicity 6)  4 Au 2.51-2.70
Au 0.0741 0.3996 0.7500 (multiplicity 6)  4 Ga 2.51-2.70

Results
The calculation puts the final energy at -52.83 eV/cell. For the spin magnetization, the calculation gives 0.0 μB/cell. The crystal system is hexagonal. The density of states at the Fermi level is 5.023 states/eV/cell.

=====

No. 5
VASP calculation (GGA-PBE) on crystalline Pr5Ga4Au at its relaxed geometry.

Cell lengths 3.7088, 3.7088, 18.8730 Å; angles 90.00, 90.00, 90.00 degrees
Last column: nearest neighbours and their distance in Å.
Space group P4/mmm (No. 123)
Symmetry-distinct sites (fractional):
Pr 0.0000 0.0000 0.0000 (multiplicity 1)  8 Ga 3.22
Pr 0.0000 0.0000 0.1984 (multiplicity 2)  8 Ga 3.23-3.24
Pr 0.0000 0.0000 0.3974 (multiplicity 2)  4 Ga 3.21, 4 Au 3.26
Ga 0.5000 0.5000 0.0989 (multiplicity 2)  8 Pr 3.22-3.23
Ga 0.5000 0.5000 0.2990 (multiplicity 2)  8 Pr 3.21-3.24
Au 0.5000 0.5000 0.5000 (multiplicity 1)  8 Pr 3.26

Results
The calculation puts the final energy at -45.07 eV/cell. For the spin magnetization, the calculation gives 0.0 μB/cell. The crystal system is tetragonal. The density of states at the Fermi level is 6.962 states/eV/cell.

=====

No. 6
VASP calculation (GGA-PBE) on crystalline Pr2Ga5Au3 at its relaxed geometry.

Cell lengths 10.7345, 12.3672, 6.2382 Å; angles 90.00, 90.00, 90.00 degrees
Last column: nearest neighbours and their distance in Å.
Space group Ibam (No. 72)
Symmetry-distinct sites (fractional):
Pr 0.2387 0.1269 0.0000 (multiplicity 8)  10 Ga 3.25-3.47, 6 Au 3.33-3.57
Ga 0.0000 0.0000 0.2500 (multiplicity 4)  4 Au 2.61
Ga 0.0000 0.2672 0.2500 (multiplicity 8)  3 Au 2.61-2.88, 2 Ga 2.64
Ga 0.1465 0.3836 0.0000 (multiplicity 8)  3 Au 2.52-2.64, 2 Ga 2.64
Au 0.0000 0.5000 0.2500 (multiplicity 4)  6 Ga 2.64-2.88
Au 0.1199 0.1336 0.5000 (multiplicity 8)  5 Ga 2.52-2.61

Results
The calculation puts the final energy at -164.16 eV/cell. For the spin magnetization, the calculation gives 0.0 μB/cell. The crystal system is orthorhombic. The density of states at the Fermi level is 15.771 states/eV/cell.

=====

No. 7
VASP calculation (GGA-PBE) on crystalline Pr2GaAu at its relaxed geometry.

Cell lengths 3.9891, 3.9891, 25.2691 Å; angles 90.00, 90.00, 120.00 degrees
Last column: nearest neighbours and their distance in Å.
Space group R-3m (No. 166, hexagonal axes)
Symmetry-distinct sites (fractional):
Pr 0.0000 0.0000 0.2505 (multiplicity 6)  3 Au 3.11, 3 Ga 3.13
Ga 0.0000 0.0000 0.5000 (multiplicity 3)  6 Pr 3.13
Au 0.0000 0.0000 0.0000 (multiplicity 3)  6 Pr 3.11

Results
The calculation puts the final energy at -53.14 eV/cell. For the spin magnetization, the calculation gives 0.0 μB/cell. The crystal system is trigonal. The density of states at the Fermi level is 14.435 states/eV/cell.

=====

No. 8
VASP calculation (GGA-PBE) on crystalline PrGa4Au at its relaxed geometry.

Cell lengths 4.1557, 5.4960, 11.5040 Å; angles 90.00, 90.00, 90.00 degrees
Last column: nearest neighbours and their distance in Å.
Space group Immm (No. 71)
Symmetry-distinct sites (fractional):
Pr 0.0000 0.0000 0.0000 (multiplicity 2)  8 Ga 3.27, 4 Au 3.45
Ga 0.0000 0.2581 0.3133 (multiplicity 8)  4 Ga 2.54-2.84, 1 Au 2.57
Au 0.0000 0.0000 0.5000 (multiplicity 2)  4 Ga 2.57

Results
The calculation puts the final energy at -45.12 eV/cell. For the spin magnetization, the calculation gives 0.0 μB/cell. The crystal system is orthorhombic. The density of states at the Fermi level is 4.288 states/eV/cell.

=====

No. 9
VASP calculation (GGA-PBE) on crystalline Pr3Ga8Au3 at its relaxed geometry.

Cell lengths 16.2191, 4.4807, 9.9692 Å; angles 90.00, 126.94, 90.00 degrees
Last column: nearest neighbours and their distance in Å.
Space group C2/m (No. 12)
Symmetry-distinct sites (fractional):
Pr 0.0000 0.0000 0.0000 (multiplicity 2)  8 Ga 3.28-3.36, 4 Au 3.33
Pr 0.1894 0.5000 0.6791 (multiplicity 4)  9 Ga 3.12-3.42, 4 Au 3.27-3.32
Ga 0.0084 0.5000 0.7081 (multiplicity 4)  1 Au 2.62, 3 Ga 2.70-2.89
Ga 0.1421 0.0000 0.4207 (multiplicity 4)  4 Au 2.63-2.85
Ga 0.1474 0.0000 0.8743 (multiplicity 4)  5 Ga 2.67-2.89, 1 Au 2.99
Ga 0.1621 0.5000 0.0416 (multiplicity 4)  1 Au 2.61, 4 Ga 2.67-2.72
Au 0.0000 0.0000 0.5000 (multiplicity 2)  8 Ga 2.85-3.00
Au 0.1546 0.5000 0.2956 (multiplicity 4)  5 Ga 2.61-2.77

Results
The calculation puts the final energy at -113.13 eV/cell. For the spin magnetization, the calculation gives 0.0 μB/cell. The crystal system is monoclinic. The density of states at the Fermi level is 15.618 states/eV/cell.

=====

No. 10
VASP calculation (GGA-PBE) on crystalline Pr2GaAu at its relaxed geometry.

Cell lengths 4.6289, 4.0512, 11.5119 Å; angles 90.00, 90.00, 90.00 degrees
Last column: nearest neighbours and their distance in Å.
Space group Amm2 (No. 38)
Symmetry-distinct sites (fractional):
Pr 0.0000 0.0000 0.0000 (multiplicity 2)  4 Au 3.16, 3 Ga 3.21-3.25
Pr 0.5000 0.0000 0.2834 (multiplicity 2)  4 Ga 3.16, 3 Au 3.23-3.24
Ga 0.0000 0.0000 0.7210 (multiplicity 2)  2 Au 2.93, 7 Pr 3.16-3.25
Au 0.5000 0.0000 0.5644 (multiplicity 2)  2 Ga 2.93, 7 Pr 3.16-3.24

Results
The calculation puts the final energy at -36.88 eV/cell. For the spin magnetization, the calculation gives 0.0 μB/cell. The crystal system is orthorhombic. The density of states at the Fermi level is 7.475 states/eV/cell.

=====

No. 11
VASP calculation (GGA-PBE) on crystalline Pr6Ga2Au at its relaxed geometry.

Cell lengths 6.5123, 8.4904, 11.5800 Å; angles 90.00, 120.10, 90.00 degrees
Last column: nearest neighbours and their distance in Å.
Space group P2_1/c (No. 14)
Symmetry-distinct sites (fractional):
Pr 0.0828 0.0491 0.2271 (multiplicity 4)  1 Au 2.99, 2 Ga 3.14-3.15
Pr 0.1782 0.6933 0.0663 (multiplicity 4)  1 Au 3.05, 2 Ga 3.22-3.29
Pr 0.4173 0.1591 0.0587 (multiplicity 4)  1 Au 3.08, 3 Ga 3.14-3.37, 1 Pr 3.43
Ga 0.3179 0.1214 0.7448 (multiplicity 4)  8 Pr 3.14-3.48
Au 0.5000 0.0000 0.5000 (multiplicity 2)  6 Pr 2.99-3.08

Results
The calculation puts the final energy at -82.04 eV/cell. For the spin magnetization, the calculation gives 0.0 μB/cell. The crystal system is monoclinic. The density of states at the Fermi level is 19.494 states/eV/cell.

=====

No. 12
VASP calculation (GGA-PBE) on crystalline Pr3Ga2Au6 at its relaxed geometry.

Cell lengths 4.1354, 4.1354, 30.3198 Å; angles 90.00, 90.00, 90.00 degrees
Last column: nearest neighbours and their distance in Å.
Space group I4/mmm (No. 139)
Symmetry-distinct sites (fractional):
Pr 0.0000 0.0000 0.0000 (multiplicity 2)  8 Au 3.16
Pr 0.0000 0.0000 0.1760 (multiplicity 4)  5 Au 3.08-3.24, 4 Ga 3.21
Ga 0.0000 0.0000 0.3674 (multiplicity 4)  5 Au 2.63-2.72
Au 0.0000 0.0000 0.2777 (multiplicity 4)  1 Ga 2.72
Au 0.0000 0.5000 0.0788 (multiplicity 8)  2 Ga 2.63, 4 Au 2.92

Results
The calculation puts the final energy at -91.66 eV/cell. For the spin magnetization, the calculation gives 0.0 μB/cell. The crystal system is tetragonal. The density of states at the Fermi level is 16.955 states/eV/cell.